Material: Rb3TbCe2S6
Method: DFT, PBE-GGA
State: relaxed

Calculated volume in Å³ per atom: 29.34
Uncorrected formation energy in eV per atom: -1.791
Total magnetic moment in μB/f.u.: 2.0
Space-group type: C2/m, No. 12

abc: 7.2770 7.2770 8.0522
angles: 98.67 98.67 120.00
Last column: nearest neighbours and their distance in Å.
Fractional coordinates of all 12 atoms:
Rb: 0.0000 0.0000 0.0000  6 S 3.36-3.41
Rb: 0.3330 0.6670 0.0000  6 S 3.36-3.41
Rb: 0.6670 0.3330 0.0000  6 S 3.36-3.41
Tb: 0.5000 0.5000 0.5000  6 S 2.81
Ce: 0.1666 0.8334 0.5000  6 S 2.87
Ce: 0.8334 0.1666 0.5000  6 S 2.87
S: 0.1088 0.4351 0.3054  1 Tb 2.81, 2 Ce 2.87
S: 0.2386 0.2386 0.6947  1 Tb 2.81, 2 Ce 2.87
S: 0.4351 0.1088 0.3054  1 Tb 2.81, 2 Ce 2.87
S: 0.5649 0.8912 0.6946  1 Tb 2.81, 2 Ce 2.87
S: 0.7614 0.7614 0.3053  1 Tb 2.81, 2 Ce 2.87
S: 0.8912 0.5649 0.6946  1 Tb 2.81, 2 Ce 2.87


Material: Rb2TbCe2S6
Method: DFT, PBE-GGA
State: relaxed

Calculated volume in Å³ per atom: 31.42
Uncorrected formation energy in eV per atom: -1.840
Total magnetic moment in μB/f.u.: 1.0
Space-group type: C2/m, No. 12

abc: 7.1434 7.1434 8.1634
angles: 98.33 98.33 119.91
Last column: nearest neighbours and their distance in Å.
Fractional coordinates of all 11 atoms:
Rb: 0.1666 0.8334 0.0000  6 S 3.40-3.42
Rb: 0.8334 0.1666 0.0000  6 S 3.40-3.42
Tb: 0.0000 0.0000 0.5000  6 S 2.76-2.79
Ce: 0.3342 0.6658 0.5000  6 S 2.79-2.80
Ce: 0.6658 0.3342 0.5000  6 S 2.79-2.80
S: 0.0590 0.3933 0.6861  2 Ce 2.79-2.80, 1 Tb 2.79
S: 0.2666 0.2666 0.3134  1 Tb 2.76, 2 Ce 2.80
S: 0.3933 0.0590 0.6861  2 Ce 2.79-2.80, 1 Tb 2.79
S: 0.6067 0.9410 0.3139  2 Ce 2.79-2.80, 1 Tb 2.79
S: 0.7334 0.7334 0.6866  1 Tb 2.76, 2 Ce 2.80
S: 0.9410 0.6067 0.3139  2 Ce 2.79-2.80, 1 Tb 2.79


Material: Rb2TbCeS4
Method: DFT, PBE-GGA
State: relaxed

Calculated volume in Å³ per atom: 29.02
Uncorrected formation energy in eV per atom: -1.804
Total magnetic moment in μB/f.u.: 1.0
Space-group type: P2/m, No. 10

abc: 7.2341 4.1762 8.0512
angles: 90.00 107.39 90.00
Last column: nearest neighbours and their distance in Å.
Fractional coordinates of all 8 atoms:
Rb: 0.0000 0.0000 0.0000  6 S 3.34-3.35
Rb: 0.5000 0.5000 0.0000  6 S 3.39-3.40
Tb: 0.0000 0.5000 0.5000  6 S 2.80-2.81
Ce: 0.5000 0.0000 0.5000  6 S 2.86-2.87
S: 0.2246 0.0000 0.6931  2 Tb 2.81, 1 Ce 2.87
S: 0.2616 0.5000 0.3050  1 Tb 2.80, 2 Ce 2.86
S: 0.7384 0.5000 0.6950  1 Tb 2.80, 2 Ce 2.86
S: 0.7754 0.0000 0.3069  2 Tb 2.81, 1 Ce 2.87


Material: Rb3TbCe3S8
Method: DFT, PBE-GGA
State: relaxed

Calculated volume in Å³ per atom: 31.05
Uncorrected formation energy in eV per atom: -1.825
Total magnetic moment in μB/f.u.: 2.0
Space-group type: R-3m, No. 166

abc: 9.1365 9.1365 9.1365
angles: 54.16 54.16 54.16
Last column: nearest neighbours and their distance in Å.
Fractional coordinates of all 15 atoms:
Rb: 0.0000 0.5000 0.5000  6 S 3.38-3.41
Rb: 0.5000 0.0000 0.5000  6 S 3.38-3.41
Rb: 0.5000 0.5000 0.0000  6 S 3.38-3.41
Tb: 0.5000 0.5000 0.5000  6 S 2.78
Ce: 0.0000 0.0000 0.5000  6 S 2.82-2.83
Ce: 0.0000 0.5000 0.0000  6 S 2.82-2.83
Ce: 0.5000 0.0000 0.0000  6 S 2.82-2.83
S: 0.2313 0.2313 0.2313  3 Ce 2.83
S: 0.2327 0.7270 0.7270  1 Tb 2.78, 2 Ce 2.82
S: 0.2730 0.2730 0.7673  1 Tb 2.78, 2 Ce 2.82
S: 0.2730 0.7673 0.2730  1 Tb 2.78, 2 Ce 2.82
S: 0.7270 0.2327 0.7270  1 Tb 2.78, 2 Ce 2.82
S: 0.7270 0.7270 0.2327  1 Tb 2.78, 2 Ce 2.82
S: 0.7673 0.2730 0.2730  1 Tb 2.78, 2 Ce 2.82
S: 0.7687 0.7687 0.7687  3 Ce 2.83


Material: Rb3Ce3TcS8
Method: DFT, PBE-GGA
State: relaxed

Calculated volume in Å³ per atom: 29.32
Uncorrected formation energy in eV per atom: -1.440
Total magnetic moment in μB/f.u.: 3.5
Space-group type: R-3m, No. 166

abc: 9.1252 9.1252 9.1252
angles: 52.27 52.27 52.27
Last column: nearest neighbours and their distance in Å.
Fractional coordinates of all 15 atoms:
Rb: 0.0000 0.5000 0.5000  6 S 3.31-3.36
Rb: 0.5000 0.0000 0.5000  6 S 3.31-3.36
Rb: 0.5000 0.5000 0.0000  6 S 3.31-3.36
Ce: 0.0000 0.0000 0.5000  6 S 2.80-2.81
Ce: 0.0000 0.5000 0.0000  6 S 2.80-2.81
Ce: 0.5000 0.0000 0.0000  6 S 2.80-2.81
Tc: 0.5000 0.5000 0.5000  6 S 2.53
S: 0.2331 0.2331 0.2331  3 Ce 2.80
S: 0.2571 0.7110 0.7110  1 Tc 2.53, 2 Ce 2.81
S: 0.2890 0.2890 0.7429  1 Tc 2.53, 2 Ce 2.81
S: 0.2890 0.7429 0.2890  1 Tc 2.53, 2 Ce 2.81
S: 0.7110 0.2571 0.7110  1 Tc 2.53, 2 Ce 2.81
S: 0.7110 0.7110 0.2571  1 Tc 2.53, 2 Ce 2.81
S: 0.7429 0.2890 0.2890  1 Tc 2.53, 2 Ce 2.81
S: 0.7669 0.7669 0.7669  3 Ce 2.80


Material: Rb2CeTeS4
Method: DFT, PBE-GGA
State: relaxed

Calculated volume in Å³ per atom: 33.75
Uncorrected formation energy in eV per atom: -0.993
Total magnetic moment in μB/f.u.: 0.1
Space-group type: I-4, No. 82

abc: 7.0554 7.0554 7.0554
angles: 110.70 110.70 107.05
Last column: nearest neighbours and their distance in Å.
Fractional coordinates of all 8 atoms:
Rb: 0.0000 0.0000 0.0000  4 S 3.27
Rb: 0.7500 0.2500 0.5000  4 S 3.35
Ce: 0.2500 0.7500 0.5000  4 S 2.64
Te: 0.5000 0.5000 0.0000  4 S 2.69
S: 0.2712 0.4042 0.5540  1 Ce 2.64, 1 Te 2.69
S: 0.2828 0.7288 0.1330  1 Ce 2.64, 1 Te 2.69
S: 0.5958 0.1498 0.8670  1 Ce 2.64, 1 Te 2.69
S: 0.8502 0.7172 0.4460  1 Ce 2.64, 1 Te 2.69